Entry 1:
VASP calculation (PBE) on a geometry-optimized Tb5Nd2Tm structure.

Calculated values
Space group: P-1 (2)
Energy relative to the lowest polymorph listed for this composition in eV per atom: 0.104
DFT formation energy in eV per atom: 0.12

Cell: 6.131 9.024 10.379 Å, 107.00 99.49 98.58°
Sites, in units of the cell vectors:
Tb (0.037, 0.035, 0.175)
Tb (0.095, 0.663, 0.950)
Tb (0.203, 0.371, 0.475)
Tb (0.342, 0.302, 0.856)
Tb (0.452, 0.924, 0.640)
Tb (0.548, 0.076, 0.360)
Tb (0.658, 0.698, 0.144)
Tb (0.797, 0.629, 0.525)
Tb (0.905, 0.337, 0.050)
Tb (0.963, 0.965, 0.825)
Nd (0.203, 0.684, 0.308)
Nd (0.484, 0.357, 0.216)
Nd (0.516, 0.643, 0.784)
Nd (0.797, 0.316, 0.692)
Tm (0.000, 0.000, 0.500)
Tm (0.500, 0.000, 0.000)

Entry 2:
VASP calculation (PBE) on a geometry-optimized Mg2Si2Ni5Pt structure.

Calculated values
Space group: P4/mbm (127)
Total DFT energy (no corrections) in eV per atom: -5.2796

Cell: 8.811 8.811 3.422 Å, 90.00 90.00 90.00°
Sites, in units of the cell vectors:
Mg (0.176, 0.324, 0.000)
Mg (0.324, 0.824, 0.000)
Mg (0.676, 0.176, 0.000)
Mg (0.824, 0.676, 0.000)
Si (0.123, 0.623, 0.000)
Si (0.377, 0.123, 0.000)
Si (0.623, 0.877, 0.000)
Si (0.877, 0.377, 0.000)
Ni (0.000, 0.500, 0.500)
Ni (0.068, 0.787, 0.500)
Ni (0.213, 0.068, 0.500)
Ni (0.287, 0.568, 0.500)
Ni (0.432, 0.287, 0.500)
Ni (0.500, 0.000, 0.500)
Ni (0.568, 0.713, 0.500)
Ni (0.713, 0.432, 0.500)
Ni (0.787, 0.932, 0.500)
Ni (0.932, 0.213, 0.500)
Pt (0.000, 0.000, 0.000)
Pt (0.500, 0.500, 0.000)

Entry 3:
VASP calculation (PBE) on a geometry-optimized AcTb5Er4 structure.

Calculated values
Space group: P-1 (2)
DFT formation energy in eV per atom: 0.25

Cell: 3.593 9.071 11.025 Å, 78.07 89.96 78.76°
Sites, in units of the cell vectors:
Ac (0.000, 0.000, 0.000)
Tb (0.000, 0.000, 0.500)
Tb (0.334, 0.337, 0.480)
Tb (0.335, 0.331, 0.079)
Tb (0.665, 0.669, 0.921)
Tb (0.666, 0.663, 0.520)
Er (0.173, 0.645, 0.228)
Er (0.479, 0.043, 0.734)
Er (0.521, 0.957, 0.266)
Er (0.827, 0.355, 0.772)

Entry 4:
VASP calculation (PBE) on a geometry-optimized Pa3Co4Ge structure.

Calculated values
Space group: Immm (71)
DFT formation energy in eV per atom: -0.30

Cell: 7.716 7.716 7.716 Å, 152.74 136.64 51.98°
Sites, in units of the cell vectors:
Pa (0.000, 0.000, 0.000)
Pa (0.314, 0.814, 0.500)
Pa (0.686, 0.186, 0.500)
Co (0.077, 0.372, 0.706)
Co (0.334, 0.628, 0.706)
Co (0.666, 0.372, 0.294)
Co (0.923, 0.628, 0.294)
Ge (0.500, 0.500, 0.000)

Calculated volume, 530 266 345 144 Å³ per cell (same order as the records).